(1)
The following is a DFT calculation (PBE-GGA) of a relaxed PuTiAs2 crystal.

Values from the calculation:
DOS(E_F) (states/eV per atom): 1.187
ΔE to the lowest computed polymorph (meV per atom): 504
Theoretical density (g/cm³): 9.16
Formation energy (eV per atom): -0.4451
Raw total energy (eV per atom): -8.327

POSCAR file:
```
PuTiAs2
1.0
-2.099 2.624 -1.429
-4.292 -2.301 2.079
1.859 8.998 13.796
As Pu Ti
8 4 4
Direct
0.250 0.836 0.832
0.750 0.883 0.581
0.250 0.617 0.081
0.750 0.383 0.919
0.750 0.664 0.332
0.750 0.164 0.168
0.250 0.336 0.668
0.250 0.117 0.419
0.750 0.387 0.530
0.750 0.887 0.970
0.250 0.613 0.470
0.250 0.113 0.030
0.250 0.330 0.818
0.750 0.170 0.318
0.250 0.830 0.682
0.750 0.670 0.182
```

***

(2)
The following is a DFT calculation (PBE-GGA) of a relaxed TiGaTc2 crystal.

Values from the calculation:
DOS(E_F) (states/eV per atom): 1.090
Theoretical density (g/cm³): 7.63
Formation energy (eV per atom): 0.5061
Raw total energy (eV per atom): -7.407

POSCAR file:
```
TiGaTc2
1.0
4.899 -1.892 -3.458
-1.562 5.014 3.458
-3.549 0.449 5.171
Ti Tc Ga
1 2 1
Direct
0.000 0.000 0.000
0.000 0.214 0.214
0.000 0.786 0.786
0.000 0.500 0.500
```

***

(3)
The following is a DFT calculation (PBE-GGA) of a relaxed Cs3LiHg6 crystal.

Values from the calculation:
DOS(E_F) (states/eV per atom): 0.752
Theoretical density (g/cm³): 6.38
Formation energy (eV per atom): -0.2161
Raw total energy (eV per atom): -0.845

POSCAR file:
```
Cs3LiHg6
1.0
-5.225 -2.946 -2.699
6.886 -4.891 -2.647
-1.542 -0.349 8.709
Hg Cs Li
6 3 1
Direct
0.707 0.000 0.234
0.707 0.234 0.000
0.159 0.234 0.234
0.925 0.000 0.766
0.473 0.766 0.766
0.925 0.766 0.000
0.816 0.500 0.500
0.316 0.500 0.000
0.316 0.000 0.500
0.316 0.000 0.000
```

***

(4)
The following is a DFT calculation (PBE-GGA) of a relaxed YCuOs2 crystal.

Values from the calculation:
DOS(E_F) (states/eV per atom): 0.523
ΔE to the lowest computed polymorph (meV per atom): 260
Theoretical density (g/cm³): 11.24
Formation energy (eV per atom): 0.4354
Raw total energy (eV per atom): -7.820

POSCAR file:
```
YCuOs2
1.0
-0.524 -3.664 1.834
3.843 -1.081 -1.061
4.833 1.135 8.305
Cu Os Y
2 4 2
Direct
0.500 0.500 0.000
0.250 0.750 0.500
0.520 0.125 0.250
0.875 0.770 0.750
0.230 0.625 0.250
0.375 0.480 0.750
0.750 0.250 0.500
0.000 0.000 0.000
```